<1>
Here is a relaxed structure of YTm2Mg from Alexandria. Energies are from GGA-PBE.

```
YTm2Mg
1.0
-0.270 -3.104 -1.585
2.841 -1.527 -1.348
2.707 -6.647 8.698
Mg Y Tm
1 1 2
Direct
0.000 0.000 0.000
0.500 0.500 0.500
0.253 0.253 0.241
0.747 0.747 0.759
```

Results
- Total magnetization: 0.00 μB per atom
- SG: R-3m
- Crystal system: trigonal

<2>
Here is a relaxed structure of YTm2Mg from Alexandria. Energies are from GGA-PBE.

```
YTm2Mg
1.0
4.911 0.000 0.000
0.000 4.862 0.000
0.000 0.000 4.862
Y Mg Tm
1 1 2
Direct
0.500 0.000 0.000
0.500 0.500 0.500
0.000 0.000 0.500
0.000 0.500 0.000
```

Results
- Total magnetization: 0.00 μB per atom
- SG: P4/mmm
- Crystal system: tetragonal

It turns out <1> is the most stable, with the second structure 0.009 eV/atom higher.

<1>
Here is a relaxed structure of Y2Tm2Mg3 from Alexandria. Energies are from GGA-PBE.

```
Y2Tm2Mg3
1.0
3.499 0.000 0.004
-1.738 6.756 -1.456
-0.003 -2.138 8.876
Tm Mg Y
2 3 2
Direct
0.368 0.737 0.182
0.632 0.263 0.818
0.323 0.640 0.790
0.000 0.000 0.000
0.677 0.360 0.210
0.105 0.215 0.453
0.895 0.785 0.547
```

Results
- Total magnetization: 0.00 μB per atom
- SG: P-1
- Crystal system: triclinic

<2>
Here is a relaxed structure of Y2Tm2Mg3 from Alexandria. Energies are from GGA-PBE.

```
Y2Tm2Mg3
1.0
1.907 -14.151 0.000
1.907 14.151 0.000
0.000 0.000 3.654
Tm Mg Y
2 3 2
Direct
0.701 0.299 0.500
0.299 0.701 0.500
0.000 0.000 0.000
0.136 0.864 0.000
0.864 0.136 0.000
0.430 0.570 0.500
0.570 0.430 0.500
```

Results
- Total magnetization: 0.00 μB per atom
- SG: Cmmm
- Crystal system: orthorhombic

It turns out <2> is the most stable, with the second structure 0.020 eV/atom higher.